Computed, not measured: a geometry-optimized PuTlTe3Pb structure at the GGA-PBE level of DFT.

Output
The total energy comes out at -5.553 eV per atom. The calculation puts the magnetic moment at 10.00 μB per cell. For the formation energy (no corrections), the calculation gives -581 meV/atom.

Cell: 4.4788 9.7971 10.2796 Å, 99.28 90.00 90.00°
Positions (direct):
Te  0.7500  0.3486  0.5430
Te  0.7500  0.4270  0.1510
Tl  0.2500  0.1810  0.1801
Pu  0.2500  0.6470  0.1531
Te  0.7500  0.8732  0.1557
Tl  0.7500  0.8190  0.8199
Pu  0.7500  0.3530  0.8469
Te  0.2500  0.5730  0.8490
Pb  0.7500  0.8576  0.4520
Pb  0.2500  0.1424  0.5480
Te  0.2500  0.6514  0.4570
Te  0.2500  0.1268  0.8443